No. 1
The following is a DFT calculation (PBE-GGA) of an optimized crystal structure of Cs3La2NpS6.

Unit cell a=7.445 b=7.445 c=8.438 alpha=98.46 beta=98.46 gamma=120.00
Fractional coordinates of all 12 atoms:
Cs: 0.000 0.000 0.000
Cs: 0.332 0.668 0.000
Cs: 0.668 0.332 0.000
La: 0.167 0.833 0.500
La: 0.833 0.167 0.500
Np: 0.500 0.500 0.500
S: 0.114 0.439 0.316
S: 0.237 0.237 0.685
S: 0.439 0.114 0.316
S: 0.561 0.886 0.684
S: 0.763 0.763 0.315
S: 0.886 0.561 0.684

## Properties
Magnetization (μB per cell): 4.00
ΔE_f (raw) (meV per atom): -1694


No. 2
The following is a DFT calculation (PBE-GGA) of an optimized crystal structure of Tb12Ni6Ru.

Unit cell a=8.005 b=8.005 c=8.005 alpha=98.51 beta=98.51 gamma=98.51
Fractional coordinates of all 19 atoms:
Tb: 0.048 0.908 0.677
Tb: 0.092 0.323 0.952
Tb: 0.182 0.578 0.411
Tb: 0.323 0.952 0.092
Tb: 0.411 0.182 0.578
Tb: 0.422 0.589 0.818
Tb: 0.578 0.411 0.182
Tb: 0.589 0.818 0.422
Tb: 0.677 0.048 0.908
Tb: 0.818 0.422 0.589
Tb: 0.908 0.677 0.048
Tb: 0.952 0.092 0.323
Ni: 0.132 0.318 0.615
Ni: 0.318 0.615 0.132
Ni: 0.385 0.868 0.682
Ni: 0.615 0.132 0.318
Ni: 0.682 0.385 0.868
Ni: 0.868 0.682 0.385
Ru: 0.000 0.000 0.000

## Properties
Magnetization (μB per cell): 0.00
E_form (eV/atom): -0.195


No. 3
The following is a DFT calculation (PBE-GGA) of an optimized crystal structure of Nd4SeS2Cl.

Unit cell a=7.103 b=5.824 c=7.132 alpha=65.59 beta=48.30 gamma=66.11
Fractional coordinates of all 8 atoms:
Nd: 0.249 0.751 0.249
Nd: 0.516 0.971 0.484
Nd: 0.751 0.249 0.751
Nd: 0.971 0.516 0.029
Se: 0.017 0.017 0.983
S: 0.250 0.250 0.250
S: 0.750 0.750 0.750
Cl: 0.471 0.471 0.529

## Properties
Magnetization (μB per cell): 0.00
ΔE_f (raw) (meV per atom): -1771


No. 4
The following is a DFT calculation (PBE-GGA) of an optimized crystal structure of Dy2Tc3B4.

Unit cell a=6.636 b=5.671 c=5.348 alpha=73.99 beta=55.23 gamma=50.77
Fractional coordinates of all 9 atoms:
Dy: 0.161 0.161 0.839
Dy: 0.839 0.839 0.161
Tc: 0.000 0.000 0.500
Tc: 0.500 0.500 0.000
Tc: 0.500 0.500 0.500
B: 0.120 0.548 0.452
B: 0.452 0.880 0.120
B: 0.548 0.120 0.880
B: 0.880 0.452 0.548

## Properties
Magnetization (μB per cell): 0.00
E_form (eV/atom): -0.043
E above lowest polymorph (meV per atom): 386


No. 5
The following is a DFT calculation (PBE-GGA) of an optimized crystal structure of LaEuAgBi.

Unit cell a=5.554 b=5.554 c=5.554 alpha=60.00 beta=60.00 gamma=60.00
Fractional coordinates of all 4 atoms:
La: 0.000 0.000 0.000
Eu: 0.500 0.500 0.500
Ag: 0.750 0.750 0.750
Bi: 0.250 0.250 0.250

## Properties
Magnetization (μB per cell): 7.96
E_form (eV/atom): -0.577


No. 6
The following is a DFT calculation (PBE-GGA) of an optimized crystal structure of Ac3Nd12Cd.

Unit cell a=5.236 b=5.236 c=20.884 alpha=90.00 beta=90.00 gamma=90.00
Fractional coordinates of all 16 atoms:
Ac: 0.000 0.000 0.000
Ac: 0.000 0.000 0.256
Ac: 0.000 0.000 0.744
Nd: 0.000 0.500 0.128
Nd: 0.000 0.500 0.384
Nd: 0.000 0.500 0.616
Nd: 0.000 0.500 0.872
Nd: 0.500 0.000 0.128
Nd: 0.500 0.000 0.384
Nd: 0.500 0.000 0.616
Nd: 0.500 0.000 0.872
Nd: 0.500 0.500 0.000
Nd: 0.500 0.500 0.260
Nd: 0.500 0.500 0.500
Nd: 0.500 0.500 0.740
Cd: 0.000 0.000 0.500

## Properties
Magnetization (μB per cell): 0.00
E_form (eV/atom): 0.005


No. 7
The following is a DFT calculation (PBE-GGA) of an optimized crystal structure of TaCoSe2.

Unit cell a=4.522 b=4.522 c=4.522 alpha=60.00 beta=60.00 gamma=60.00
Fractional coordinates of all 4 atoms:
Ta: 0.000 0.000 0.000
Co: 0.250 0.250 0.250
Se: 0.500 0.500 0.500
Se: 0.750 0.750 0.750

## Properties
Magnetization (μB per cell): 0.00
ΔE_f (raw) (meV per atom): 460


No. 8
The following is a DFT calculation (PBE-GGA) of an optimized crystal structure of Ce5AlRu6.

Unit cell a=7.965 b=7.965 c=5.080 alpha=103.98 beta=103.98 gamma=120.50
Fractional coordinates of all 12 atoms:
Ce: 0.000 0.000 0.000
Ce: 0.179 0.821 0.500
Ce: 0.359 0.641 0.000
Ce: 0.641 0.359 0.000
Ce: 0.821 0.179 0.500
Al: 0.500 0.500 0.500
Ru: 0.118 0.454 0.242
Ru: 0.200 0.200 0.560
Ru: 0.454 0.118 0.242
Ru: 0.546 0.882 0.758
Ru: 0.800 0.800 0.440
Ru: 0.882 0.546 0.758

## Properties
Magnetization (μB per cell): 0.00
E_form (eV/atom): -0.366
E above lowest polymorph (meV per atom): 11


No. 9
The following is a DFT calculation (PBE-GGA) of an optimized crystal structure of LuMgRu4.

Unit cell a=5.221 b=5.221 c=5.221 alpha=60.00 beta=60.00 gamma=60.00
Fractional coordinates of all 6 atoms:
Lu: 0.000 0.000 0.000
Mg: 0.250 0.250 0.250
Ru: 0.126 0.625 0.625
Ru: 0.625 0.126 0.625
Ru: 0.625 0.625 0.126
Ru: 0.625 0.625 0.625

## Properties
Magnetization (μB per cell): 0.01
E_form (eV/atom): -0.126


No. 10
The following is a DFT calculation (PBE-GGA) of an optimized crystal structure of ScNbAlMo.

Unit cell a=4.641 b=4.641 c=4.641 alpha=60.00 beta=60.00 gamma=60.00
Fractional coordinates of all 4 atoms:
Sc: 0.000 0.000 0.000
Nb: 0.500 0.500 0.500
Al: 0.250 0.250 0.250
Mo: 0.750 0.750 0.750

## Properties
Magnetization (μB per cell): 0.00
E_form (eV/atom): -0.184


No. 11
The following is a DFT calculation (PBE-GGA) of an optimized crystal structure of AlZn2Hg.

Unit cell a=4.860 b=4.860 c=3.366 alpha=90.00 beta=90.00 gamma=114.39
Fractional coordinates of all 4 atoms:
Al: 0.000 0.000 0.000
Zn: 0.000 0.500 0.500
Zn: 0.500 0.000 0.500
Hg: 0.500 0.500 0.000

## Properties
Magnetization (μB per cell): 0.00
E_form (eV/atom): 0.117
E above lowest polymorph (meV per atom): 9


No. 12
The following is a DFT calculation (PBE-GGA) of an optimized crystal structure of TlRu2Pt.

Unit cell a=2.869 b=3.803 c=6.070 alpha=90.00 beta=90.00 gamma=90.00
Fractional coordinates of all 4 atoms:
Tl: 0.000 0.000 0.000
Ru: 0.000 0.000 0.524
Ru: 0.500 0.500 0.712
Pt: 0.500 0.500 0.271

## Properties
Magnetization (μB per cell): 0.00
E_form (eV/atom): 0.300
E above lowest polymorph (meV per atom): 40


No. 13
The following is a DFT calculation (PBE-GGA) of an optimized crystal structure of Ac2PrGa2Pt7.

Unit cell a=4.242 b=4.242 c=14.360 alpha=95.27 beta=95.27 gamma=89.50
Fractional coordinates of all 12 atoms:
Ac: 0.096 0.096 0.356
Ac: 0.904 0.904 0.644
Pr: 0.000 0.000 0.000
Ga: 0.425 0.425 0.753
Ga: 0.575 0.575 0.247
Pt: 0.046 0.546 0.153
Pt: 0.398 0.398 0.578
Pt: 0.454 0.954 0.847
Pt: 0.500 0.500 0.000
Pt: 0.546 0.046 0.153
Pt: 0.602 0.602 0.422
Pt: 0.954 0.454 0.847

## Properties
Magnetization (μB per cell): 0.00
E_form (eV/atom): -0.958


No. 14
The following is a DFT calculation (PBE-GGA) of an optimized crystal structure of ScMnSi2Hg.

Unit cell a=4.930 b=4.930 c=5.262 alpha=90.00 beta=90.00 gamma=90.00
Fractional coordinates of all 5 atoms:
Sc: 0.000 0.000 0.000
Mn: 0.500 0.500 0.500
Si: 0.000 0.500 0.000
Si: 0.500 0.000 0.000
Hg: 0.000 0.000 0.500

## Properties
Magnetization (μB per cell): 0.19
ΔE_f (raw) (meV per atom): 1535


No. 15
The following is a DFT calculation (PBE-GGA) of an optimized crystal structure of DyTlTeO6.

Unit cell a=5.019 b=5.019 c=10.052 alpha=90.00 beta=90.00 gamma=90.00
Fractional coordinates of all 18 atoms:
Dy: 0.000 0.000 0.000
Dy: 0.500 0.500 0.500
Tl: 0.000 0.000 0.328
Tl: 0.500 0.500 0.828
Te: 0.000 0.000 0.663
Te: 0.500 0.500 0.163
O: 0.181 0.181 0.811
O: 0.184 0.184 0.518
O: 0.224 0.224 0.159
O: 0.276 0.724 0.659
O: 0.316 0.684 0.018
O: 0.319 0.681 0.311
O: 0.681 0.319 0.311
O: 0.684 0.316 0.018
O: 0.724 0.276 0.659
O: 0.776 0.776 0.159
O: 0.816 0.816 0.518
O: 0.819 0.819 0.811

## Properties
Magnetization (μB per cell): 0.00
ΔE_f (raw) (meV per atom): -1644


No. 16
The following is a DFT calculation (PBE-GGA) of an optimized crystal structure of MnRu2Pt.

Unit cell a=2.714 b=4.069 c=5.219 alpha=90.00 beta=99.86 gamma=90.00
Fractional coordinates of all 4 atoms:
Mn: 0.000 0.000 0.000
Ru: 0.381 0.500 0.237
Ru: 0.619 0.500 0.763
Pt: 0.000 0.000 0.500

## Properties
Magnetization (μB per cell): 2.39
E_form (eV/atom): 0.099


No. 17
The following is a DFT calculation (PBE-GGA) of an optimized crystal structure of Pr5AlAu4.

Unit cell a=3.732 b=3.732 c=18.883 alpha=90.00 beta=90.00 gamma=90.00
Fractional coordinates of all 10 atoms:
Pr: 0.000 0.000 0.000
Pr: 0.000 0.000 0.199
Pr: 0.000 0.000 0.398
Pr: 0.000 0.000 0.602
Pr: 0.000 0.000 0.801
Al: 0.500 0.500 0.500
Au: 0.500 0.500 0.099
Au: 0.500 0.500 0.300
Au: 0.500 0.500 0.700
Au: 0.500 0.500 0.901

## Properties
Magnetization (μB per cell): 0.00
E_form (eV/atom): -0.663


No. 18
The following is a DFT calculation (PBE-GGA) of an optimized crystal structure of PmPr3Sm2.

Unit cell a=10.551 b=10.551 c=10.551 alpha=160.70 beta=146.56 gamma=38.90
Fractional coordinates of all 6 atoms:
Pm: 0.000 0.000 0.000
Pr: 0.190 0.190 0.000
Pr: 0.500 0.000 0.500
Pr: 0.810 0.810 0.000
Sm: 0.362 0.362 0.000
Sm: 0.638 0.638 0.000

## Properties
Magnetization (μB per cell): 0.00
E_form (eV/atom): 0.308
E above lowest polymorph (meV per atom): 207


No. 19
The following is a DFT calculation (PBE-GGA) of an optimized crystal structure of La3ScB.

Unit cell a=5.385 b=5.385 c=5.385 alpha=90.00 beta=90.00 gamma=90.00
Fractional coordinates of all 5 atoms:
La: 0.000 0.000 0.500
La: 0.000 0.500 0.000
La: 0.500 0.000 0.000
Sc: 0.500 0.500 0.500
B: 0.000 0.000 0.000

## Properties
Magnetization (μB per cell): 0.00
E_form (eV/atom): 0.210
E above lowest polymorph (meV per atom): 0


No. 20
The following is a DFT calculation (PBE-GGA) of an optimized crystal structure of YAuSe2.

Unit cell a=7.497 b=5.660 c=11.698 alpha=90.00 beta=90.00 gamma=90.00
Fractional coordinates of all 16 atoms:
Y: 0.112 0.250 0.114
Y: 0.388 0.750 0.614
Y: 0.612 0.250 0.386
Y: 0.888 0.750 0.886
Au: 0.208 0.250 0.479
Au: 0.292 0.750 0.979
Au: 0.708 0.250 0.021
Au: 0.792 0.750 0.521
Se: 0.029 0.750 0.664
Se: 0.037 0.750 0.114
Se: 0.463 0.250 0.614
Se: 0.471 0.250 0.164
Se: 0.529 0.750 0.836
Se: 0.537 0.750 0.386
Se: 0.963 0.250 0.886
Se: 0.971 0.250 0.336

## Properties
Magnetization (μB per cell): 0.00
ΔE_f (raw) (meV per atom): -1091


No. 21
The following is a DFT calculation (PBE-GGA) of an optimized crystal structure of TbSm3Bi3.

Unit cell a=8.326 b=8.326 c=8.326 alpha=67.65 beta=67.65 gamma=67.65
Fractional coordinates of all 14 atoms:
Tb: 0.167 0.167 0.167
Tb: 0.833 0.833 0.833
Sm: 0.158 0.413 0.677
Sm: 0.323 0.842 0.587
Sm: 0.413 0.677 0.158
Sm: 0.587 0.323 0.842
Sm: 0.677 0.158 0.413
Sm: 0.842 0.587 0.323
Bi: 0.027 0.806 0.421
Bi: 0.194 0.579 0.973
Bi: 0.421 0.027 0.806
Bi: 0.579 0.973 0.194
Bi: 0.806 0.421 0.027
Bi: 0.973 0.194 0.579

## Properties
Magnetization (μB per cell): 0.00
E_form (eV/atom): -0.703
E above lowest polymorph (meV per atom): 88


No. 22
The following is a DFT calculation (PBE-GGA) of an optimized crystal structure of RhC2.

Unit cell a=6.918 b=6.918 c=2.699 alpha=90.00 beta=90.00 gamma=152.98
Fractional coordinates of all 6 atoms:
Rh: 0.145 0.855 0.750
Rh: 0.855 0.145 0.250
C: 0.258 0.742 0.250
C: 0.478 0.522 0.250
C: 0.522 0.478 0.750
C: 0.742 0.258 0.750

## Properties
Magnetization (μB per cell): 0.00
E_form (eV/atom): 1.219
E above lowest polymorph (meV per atom): 757


No. 23
The following is a DFT calculation (PBE-GGA) of an optimized crystal structure of Zr2SnOs2.

Unit cell a=7.645 b=7.645 c=3.301 alpha=90.00 beta=90.00 gamma=90.00
Fractional coordinates of all 10 atoms:
Zr: 0.163 0.337 0.000
Zr: 0.337 0.837 0.000
Zr: 0.663 0.163 0.000
Zr: 0.837 0.663 0.000
Sn: 0.000 0.000 0.500
Sn: 0.500 0.500 0.500
Os: 0.134 0.634 0.500
Os: 0.366 0.134 0.500
Os: 0.634 0.866 0.500
Os: 0.866 0.366 0.500

## Properties
Magnetization (μB per cell): 0.00
E_form (eV/atom): -0.179